(1)
VASP calculation (PBE) on crystalline YMg6Ga at its relaxed geometry.

Properties
- calculated formation energy (eV per atom) = -0.08
- calculated volume (A^3/atom) = 23.136
- space-group type = Amm2
- E above lowest polymorph (eV/atom) = 0.000

Lattice parameters (Å, degrees): 6.7020 6.7020 5.0626 90.00 90.00 125.51
Sites, in units of the cell vectors:
Y 0.8181 0.1819 0.5000
Mg 0.8247 0.6808 0.5000
Mg 0.3192 0.1753 0.5000
Mg 0.6748 0.8258 0.0000
Mg 0.1742 0.3252 0.0000
Mg 0.6572 0.3428 0.0000
Mg 0.1900 0.8100 0.0000
Ga 0.3420 0.6580 0.5000

(2)
VASP calculation (PBE) on crystalline YMgGa at its relaxed geometry.

Properties
- calculated formation energy (eV per atom) = -0.40
- calculated volume (A^3/atom) = 23.449
- space-group type = C2/m
- E above lowest polymorph (eV/atom) = 0.114

Lattice parameters (Å, degrees): 5.8528 4.4224 6.3569 110.33 106.40 67.82
Sites, in units of the cell vectors:
Y 0.0242 0.3852 0.9536
Y 0.6424 0.2529 0.3079
Mg 0.5645 0.9975 0.7187
Mg 0.1022 0.6406 0.5427
Ga 0.4667 0.6704 0.9681
Ga 0.2000 0.9676 0.2933

| no. | total DFT energy (no corrections) (eV/atom) |
| --- | --- |
| 1 | -2.4645 |
| 2 | -4.1000 |